Density functional theory data (PBE) for an optimized crystal structure of KNaFe2I8.

Computed properties:
- final energy (hartree per atom) = -0.1171

Unit cell a=8.4220 b=8.4220 c=9.9407 alpha=90.00 beta=90.00 gamma=120.00
Each line ends with the local moment (μB).
Atoms (fractional coordinates):
I 0.3333 0.6667 0.4408  0.24
I 0.6660 0.8330 0.7791  0.17
I 0.8330 0.1670 0.2209  0.17
I 0.6667 0.3333 0.5592  0.24
I 0.1670 0.3340 0.7791  0.17
K 0.0000 0.0000 0.5000  0.00
Fe 0.6667 0.3333 0.3069  3.54
Na 0.0000 0.0000 0.0000  0.01
I 0.1670 0.8330 0.7791  0.17
I 0.8330 0.6660 0.2209  0.17
I 0.3340 0.1670 0.2209  0.17
Fe 0.3333 0.6667 0.6931  3.54

Density functional theory data (PBE) for an optimized crystal structure of La2Ge2Bi.

Computed properties:
- excess energy over the best structure of this formula in the dataset (meV per atom) = 367.3
- E_form (eV per atom) = -0.455
- final energy (hartree per atom) = -0.1855

Unit cell a=5.9786 b=5.9786 c=5.9817 alpha=60.02 beta=60.02 gamma=90.00
Atoms (fractional coordinates):
La 0.7500 0.2500 0.5000
Bi 0.0000 0.0000 0.0000
La 0.2500 0.7500 0.5000
Ge 0.6486 0.6486 0.7028
Ge 0.3514 0.3514 0.2972

Density functional theory data (PBE) for an optimized crystal structure of Pr3Nd.

Computed properties:
- excess energy over the best structure of this formula in the dataset (meV per atom) = 116.3
- E_form (eV per atom) = 0.127
- final energy (hartree per atom) = -0.1709

Unit cell a=5.8847 b=5.8847 c=5.8847 alpha=60.00 beta=60.00 gamma=60.00
Atoms (fractional coordinates):
Pr 0.7500 0.7500 0.7500
Pr 0.0000 0.0000 0.0000
Pr 0.2500 0.2500 0.2500
Nd 0.5000 0.5000 0.5000

Density functional theory data (PBE) for an optimized crystal structure of Ca4O3F.

Computed properties:
- final energy (hartree per atom) = -0.2153

Unit cell a=4.8646 b=4.8646 c=4.8646 alpha=90.00 beta=90.00 gamma=90.00
Atoms (fractional coordinates):
Ca 0.5000 0.0000 0.0000
Ca 0.5000 0.5000 0.5000
O 0.0000 0.5000 0.5000
F 0.0000 0.0000 0.0000
O 0.5000 0.5000 0.0000
Ca 0.0000 0.0000 0.5000
Ca 0.0000 0.5000 0.0000
O 0.5000 0.0000 0.5000

Density functional theory data (PBE) for an optimized crystal structure of Tl2SnBr2Cl4.

Computed properties:
- final energy (hartree per atom) = -0.1139

Unit cell a=7.4733 b=7.3657 c=7.3657 alpha=59.28 beta=60.71 gamma=60.71
Atoms (fractional coordinates):
Tl 0.7239 0.2528 0.2528
Cl 0.6982 0.7934 0.2738
Cl 0.3018 0.2066 0.7262
Cl 0.6982 0.2738 0.7934
Sn 0.5000 0.0000 0.0000
Br 0.8043 0.7559 0.7559
Br 0.1957 0.2441 0.2441
Cl 0.3018 0.7262 0.2066
Tl 0.2761 0.7472 0.7472

Density functional theory data (PBE) for an optimized crystal structure of HfTeI2Cl.

Computed properties:
- excess energy over the best structure of this formula in the dataset (meV per atom) = 1252.1
- final energy (hartree per atom) = -0.0984

Unit cell a=5.3701 b=5.3701 c=5.7809 alpha=90.00 beta=90.00 gamma=90.00
Each line ends with the local moment (μB).
Atoms (fractional coordinates):
I 0.0000 0.5000 0.0000  -0.01
Te 0.0000 0.0000 0.5000  -0.05
I 0.5000 0.0000 0.0000  -0.01
Cl 0.0000 0.0000 0.0000  0.00
Hf 0.5000 0.5000 0.5000  1.02

Density functional theory data (PBE) for an optimized crystal structure of Al5Fe4Ir.

Computed properties:
- E_form (eV per atom) = -0.458
- final energy (hartree per atom) = -0.2426

Unit cell a=2.9153 b=2.9153 c=14.4112 alpha=90.00 beta=90.00 gamma=90.00
Each line ends with the local moment (μB).
Atoms (fractional coordinates):
Al 0.5000 0.5000 0.3032  -0.03
Fe 0.0000 0.0000 0.2071  0.63
Al 0.5000 0.5000 0.8907  -0.01
Ir 0.0000 0.0000 0.0000  -0.01
Fe 0.0000 0.0000 0.7929  0.63
Fe 0.0000 0.0000 0.5985  0.82
Al 0.5000 0.5000 0.1093  -0.01
Fe 0.0000 0.0000 0.4015  0.82
Al 0.5000 0.5000 0.5000  -0.03
Al 0.5000 0.5000 0.6968  -0.03

Number 1: magnetic moment 10.0 μB/cell. Number 2: magnetic moment 0.0 μB/cell. Number 3: magnetic moment 0.0 μB/cell. Number 4: magnetic moment 0.0 μB/cell. Number 5: magnetic moment 0.0 μB/cell. Number 6: magnetic moment 1.5 μB/cell. Number 7: magnetic moment 2.7 μB/cell.